A plane-wave DFT calculation with PBEsol was carried out for a geometry-optimized CrTeAs2Se structure.

a = 5.2130 Å, b = 5.2343 Å, c = 5.2343 Å
α = 90.00°, β = 90.00°, γ = 90.00°
Site moments in Bohr magnetons follow the coordinates.
Atoms (fractional coordinates):
Se (0.5000, 0.0000, 0.0000)  -0.11
As (0.0000, 0.0000, 0.5000)  -0.24
As (0.0000, 0.5000, 0.0000)  -0.24
Cr (0.5000, 0.5000, 0.5000)  4.12
Te (0.0000, 0.0000, 0.0000)  0.03

Calculated values
ΔE_f (raw), eV per atom: 1.218
SG: P4/mmm
Magnetic moment, μB per atom: 0.717
D(E_F), states/eV per atom: 0.76

---

A plane-wave DFT calculation with PBEsol was carried out for a geometry-optimized TlCrAsSe2 structure.

a = 5.1598 Å, b = 5.2940 Å, c = 5.2940 Å
α = 90.00°, β = 90.00°, γ = 90.00°
Site moments in Bohr magnetons follow the coordinates.
Atoms (fractional coordinates):
Se (0.0000, 0.0000, 0.5000)  -0.21
Cr (0.5000, 0.5000, 0.5000)  4.14
As (0.5000, 0.0000, 0.0000)  -0.41
Se (0.0000, 0.5000, 0.0000)  -0.21
Tl (0.0000, 0.0000, 0.0000)  0.00

Calculated values
ΔE_f (raw), eV per atom: 1.162
SG: P4/mmm
Magnetic moment, μB per atom: 0.639
D(E_F), states/eV per atom: 0.99

---

A plane-wave DFT calculation with PBEsol was carried out for a geometry-optimized YCrAs2Se structure.

a = 4.5233 Å, b = 4.5233 Å, c = 5.1605 Å
α = 90.00°, β = 90.00°, γ = 90.00°
Site moments in Bohr magnetons follow the coordinates.
Atoms (fractional coordinates):
As (0.0000, 0.5000, 0.0000)  -0.07
Se (0.0000, 0.0000, 0.5000)  -0.04
Cr (0.0000, 0.0000, 0.0000)  1.86
As (0.5000, 0.0000, 0.0000)  -0.07
Y (0.5000, 0.5000, 0.5000)  0.05

Calculated values
ΔE_f (raw), eV per atom: -0.318
SG: P4/mmm
Magnetic moment, μB per atom: 0.357
D(E_F), states/eV per atom: 0.52

---

A plane-wave DFT calculation with PBEsol was carried out for a geometry-optimized Cr2SiAs structure.

a = 3.0861 Å, b = 3.9203 Å, c = 4.7508 Å
α = 114.37°, β = 108.95°, γ = 90.00°
Atoms (fractional coordinates):
Si (0.4889, 0.4889, 0.9777)
As (0.2584, 0.7584, 0.5168)
Cr (0.9986, 0.9986, 0.9972)
Cr (0.7541, 0.2541, 0.5083)

Calculated values
ΔE_f (raw), eV per atom: 0.054
SG: Imm2
Magnetic moment, μB per atom: 0.000
D(E_F), states/eV per atom: 1.05

---

A plane-wave DFT calculation with PBEsol was carried out for a geometry-optimized CrSiAs2 structure.

a = 3.5069 Å, b = 4.6197 Å, c = 4.7705 Å
α = 118.96°, β = 111.57°, γ = 90.00°
Site moments in Bohr magnetons follow the coordinates.
Atoms (fractional coordinates):
As (0.7315, 0.7315, 0.4630)  -0.08
Si (0.0000, 0.5000, 0.0000)  -0.02
Cr (0.5000, 0.0000, 0.0000)  2.46
As (0.2685, 0.2685, 0.5370)  -0.08

Calculated values
ΔE_f (raw), eV per atom: 0.323
SG: Immm
Magnetic moment, μB per atom: 0.564
D(E_F), states/eV per atom: 0.47

---

A plane-wave DFT calculation with PBEsol was carried out for a geometry-optimized CrSi2As structure.

a = 3.9474 Å, b = 3.9474 Å, c = 4.6227 Å
α = 115.28°, β = 115.28°, γ = 90.00°
Site moments in Bohr magnetons follow the coordinates.
Atoms (fractional coordinates):
As (0.5000, 0.5000, 0.0000)  -0.03
Si (0.0000, 0.0000, 0.0000)  -0.03
Cr (0.2500, 0.7500, 0.5000)  2.55
Si (0.7500, 0.2500, 0.5000)  0.03

Calculated values
ΔE_f (raw), eV per atom: 0.355
SG: I-4m2
Magnetic moment, μB per atom: 0.689
D(E_F), states/eV per atom: 0.61